First-principles (PBE) data for a relaxed structure of Tc2AgB, as listed in OQMD.

a b c (Å): 4.2546 4.2546 4.2546
angles (deg): 60.00 60.00 60.00
Last column: nearest neighbours and their distance in Å.
Sites, in units of the cell vectors:
Ag1 0.2500 0.2500 0.2500  4 Tc 2.61, 4 B 2.61
B1 0.5000 0.5000 0.5000  4 Ag 2.61, 4 Tc 2.61
Tc1 0.0000 0.0000 0.0000  4 Ag 2.61, 4 Tc 2.61
Tc2 0.7500 0.7500 0.7500  4 B 2.61, 4 Tc 2.61

As for the raw total energy: -6.64 eV/atom.